No. 1
Entry from Alexandria: a geometry-optimized ZrCoSbOs2 structure (GGA-PBEsol).

Cell and atoms, written as POSCAR:
```
ZrCoSbOs2
1.0
4.722 0.000 0.000
0.000 4.722 0.000
0.000 0.000 5.249
Sb Os Zr Co
1 2 1 1
Direct
0.000 0.000 0.500 Sb
0.000 0.500 0.000 Os
0.500 0.000 0.000 Os
0.000 0.000 0.000 Zr
0.500 0.500 0.500 Co
```

Calculated values
ΔE_f (raw) = 2.40 eV per atom

***

No. 2
Entry from Alexandria: a geometry-optimized Sc2CoOs structure (GGA-PBEsol).

Cell and atoms, written as POSCAR:
```
Sc2CoOs
1.0
3.020 0.000 0.000
1.510 2.615 0.000
1.510 0.872 7.984
Co Os Sc
1 1 2
Direct
0.500 0.500 0.500 Co
0.000 0.000 0.000 Os
0.247 0.247 0.260 Sc
0.753 0.753 0.740 Sc
```

Calculated values
Formation energy = 0.613 kcal/mol of atoms

***

No. 3
Entry from Alexandria: a geometry-optimized ScCo2Os2 structure (GGA-PBEsol).

Cell and atoms, written as POSCAR:
```
ScCo2Os2
1.0
3.827 0.000 0.000
0.000 3.827 0.000
-1.914 -1.914 5.147
Sc Co Os
1 2 2
Direct
0.000 0.000 0.000 Sc
0.250 0.750 0.500 Co
0.750 0.250 0.500 Co
0.388 0.388 0.775 Os
0.612 0.612 0.225 Os
```

Calculated values
Formation energy = 3.661 kcal/mol of atoms

***

No. 4
Entry from Alexandria: a geometry-optimized ScCo2Os structure (GGA-PBEsol).

Cell and atoms, written as POSCAR:
```
ScCo2Os
1.0
-3.910 0.564 1.541
-2.824 -3.159 -0.174
-1.184 -1.984 3.556
Co Os Sc
2 1 1
Direct
0.000 0.000 0.000 Co
0.750 0.750 0.750 Co
0.500 0.500 0.500 Os
0.250 0.250 0.250 Sc
```

Calculated values
Formation energy = 3.223 kcal/mol of atoms

***

No. 5
Entry from Alexandria: a geometry-optimized Sc2CoOs structure (GGA-PBEsol).

Cell and atoms, written as POSCAR:
```
Sc2CoOs
1.0
4.429 0.000 0.000
2.214 3.836 0.000
2.214 1.279 3.616
Sc Co Os
2 1 1
Direct
0.250 0.250 0.250 Sc
0.750 0.750 0.750 Sc
0.500 0.500 0.500 Co
0.000 0.000 0.000 Os
```

Calculated values
Formation energy = -8.229 kcal/mol of atoms

***

No. 6
Entry from Alexandria: a geometry-optimized ScCoOs structure (GGA-PBEsol).

Cell and atoms, written as POSCAR:
```
ScCoOs
1.0
2.910 0.000 0.000
0.000 4.181 0.000
0.000 -2.090 3.620
Co Os Sc
1 1 1
Direct
0.000 0.000 0.000 Co
0.000 0.333 0.667 Os
0.500 0.667 0.333 Sc
```

Calculated values
Formation energy = -0.105 kcal/mol of atoms

***

No. 7
Entry from Alexandria: a geometry-optimized Sc2CoOs structure (GGA-PBEsol).

Cell and atoms, written as POSCAR:
```
Sc2CoOs
1.0
3.133 0.000 0.000
0.000 4.433 0.000
0.000 0.000 4.433
Sc Os Co
2 1 1
Direct
0.000 0.000 0.500 Sc
0.000 0.500 0.000 Sc
0.500 0.000 0.000 Os
0.500 0.500 0.500 Co
```

Calculated values
Formation energy = -7.902 kcal/mol of atoms

***

No. 8
Entry from Alexandria: a geometry-optimized ScCoOs structure (GGA-PBEsol).

Cell and atoms, written as POSCAR:
```
ScCoOs
1.0
-2.451 1.061 -1.540
-1.867 -1.532 1.916
1.999 3.919 2.602
Co Os Sc
1 1 1
Direct
0.015 0.015 0.029 Co
0.651 0.651 0.302 Os
0.334 0.334 0.669 Sc
```

Calculated values
Formation energy = 0.170 kcal/mol of atoms